Entry from the Alexandria database: a relaxed structure of NaPrMoO5 (PBE+U).

a b c (Å): 6.5019 6.5019 8.3301
angles (deg): 102.44 102.44 112.95
Atoms (fractional coordinates):
Na (0.2153, 0.7847, 0.7500)
Na (0.7847, 0.2153, 0.2500)
Pr (0.5000, 0.5000, 0.0000)
Pr (0.5000, 0.5000, 0.5000)
Mo (0.2014, 0.7986, 0.2500)
Mo (0.7986, 0.2014, 0.7500)
O (0.0632, 0.2738, 0.9193)
O (0.1635, 0.5634, 0.3424)
O (0.2738, 0.0632, 0.4193)
O (0.4175, 0.5825, 0.7500)
O (0.4366, 0.8366, 0.1576)
O (0.5634, 0.1635, 0.8424)
O (0.5825, 0.4175, 0.2500)
O (0.7262, 0.9368, 0.5807)
O (0.8366, 0.4366, 0.6576)
O (0.9368, 0.7262, 0.0807)

The crystal system is monoclinic. As for the calculated total energy: -6.912 eV/atom. As for the spin magnetization: 0.00 μB per formula unit.